1.
The following is a DFT calculation (PBE) of a relaxed structure of KTi2SBr.

Properties
V ... 161 Å³ per cell
Space-group type ... P4/mmm
Formation energy from raw total energies ... 1434.1 meV/atom

Cell: 5.6016 5.6016 5.1433 Å, 90.00 90.00 90.00°
Closest atoms and distances in Å follow each position.
Fractional coordinates of all 5 atoms:
K 0.0000 0.0000 0.0000  2 S 2.57, 4 Ti 2.80
Ti 0.0000 0.5000 0.0000  2 K 2.80
Ti 0.5000 0.0000 0.0000  2 K 2.80
S 0.0000 0.0000 0.5000  2 K 2.57
Br 0.5000 0.5000 0.5000  8 Ti 3.80, 4 S 3.96



2.
The following is a DFT calculation (PBE) of a relaxed structure of SrAlSi2Rh.

Properties
V ... 109 Å³ per cell
E above lowest polymorph ... 4.072 eV per formula unit
Space-group type ... P4/mmm
Formation energy from raw total energies ... 195.1 meV/atom

Cell: 4.8201 4.8201 4.6784 Å, 90.00 90.00 90.00°
Closest atoms and distances in Å follow each position.
Fractional coordinates of all 5 atoms:
Sr 0.0000 0.0000 0.0000  8 Si 3.36, 4 Rh 3.41
Al 0.5000 0.5000 0.5000  2 Rh 2.34, 4 Si 2.41
Si 0.0000 0.5000 0.5000  2 Al 2.41
Si 0.5000 0.0000 0.5000  2 Al 2.41
Rh 0.5000 0.5000 0.0000  2 Al 2.34



3.
The following is a DFT calculation (PBE) of a relaxed structure of CsGa2TcP.

Properties
V ... 119 Å³ per cell
Space-group type ... P4/mmm
ΔH_f (0 K) ... -130 meV/atom

Cell: 5.0335 5.0335 4.6825 Å, 90.00 90.00 90.00°
Closest atoms and distances in Å follow each position.
Fractional coordinates of all 5 atoms:
Cs 0.0000 0.0000 0.0000  8 Ga 3.44, 4 P 3.56
Ga 0.0000 0.5000 0.5000  2 Tc 2.52
Ga 0.5000 0.0000 0.5000  2 Tc 2.52
Tc 0.5000 0.5000 0.5000  2 P 2.34, 4 Ga 2.52
P 0.5000 0.5000 0.0000  2 Tc 2.34